(1)
## ErNbO4 (PBEsol)

Data for a relaxed structure of ErNbO4.

## Properties
uncorrected formation energy = -3.14 eV per atom
total DFT energy (no corrections) = -9.2646 eV/atom
density = 7.5 g/cm³

```
data_ErNbO4
_cell_length_a 5.152
_cell_length_b 5.152
_cell_length_c 10.799
_cell_angle_alpha 90.00
_cell_angle_beta 90.00
_cell_angle_gamma 90.00
_symmetry_space_group_name_H-M 'I 41/a'
_symmetry_Int_Tables_number 88
loop_
_symmetry_equiv_pos_as_xyz
'x,y,z'
'-x,-y,-z'
'-y+3/4,x+1/4,z+1/4'
'y+3/4,-x+1/4,-z+1/4'
'-x+1/2,-y,z+1/2'
'x+1/2,y,-z+1/2'
'y+3/4,-x+3/4,z+3/4'
'-y+3/4,x+3/4,-z+3/4'
'x+1/2,y+1/2,z+1/2'
'-x+1/2,-y+1/2,-z+1/2'
'-y+1/4,x+3/4,z+3/4'
'y+1/4,-x+3/4,-z+3/4'
'-x,-y+1/2,z'
'x,y+1/2,-z'
'y+1/4,-x+1/4,z+1/4'
'-y+1/4,x+1/4,-z+1/4'
loop_
_atom_site_label
_atom_site_type_symbol
_atom_site_fract_x
_atom_site_fract_y
_atom_site_fract_z
Er1 Er 0.000 0.250 0.125
Nb1 Nb 0.000 0.250 0.625
O1 O 0.185 0.498 0.282
```

=====

(2)
## ErNbO4 (PBEsol)

Data for a relaxed structure of ErNbO4.

## Properties
uncorrected formation energy = -3.14 eV per atom
total DFT energy (no corrections) = -9.2680 eV/atom
density = 7.6 g/cm³

```
data_ErNbO4
_cell_length_a 5.077
_cell_length_b 5.358
_cell_length_c 5.266
_cell_angle_alpha 90.00
_cell_angle_beta 95.65
_cell_angle_gamma 90.00
_symmetry_space_group_name_H-M 'P 1 2/c 1'
_symmetry_Int_Tables_number 13
loop_
_symmetry_equiv_pos_as_xyz
'x,y,z'
'-x,-y,-z'
'-x,y,-z+1/2'
'x,-y,z+1/2'
loop_
_atom_site_label
_atom_site_type_symbol
_atom_site_fract_x
_atom_site_fract_y
_atom_site_fract_z
Er1 Er 0.000 0.242 0.250
Nb1 Nb 0.500 0.293 0.750
O1 O 0.249 0.070 0.590
O2 O 0.259 0.444 0.979
```

=====

(3)
## Er2Nb2S7O30 (PBEsol)

Data for a relaxed structure of Er2Nb2S7O30.

## Properties
uncorrected formation energy = -1.79 eV per atom
total DFT energy (no corrections) = -7.1486 eV/atom
density = 3.6 g/cm³

```
data_Er2Nb2S7O30
_cell_length_a 12.633
_cell_length_b 12.633
_cell_length_c 6.991
_cell_angle_alpha 90.00
_cell_angle_beta 90.00
_cell_angle_gamma 90.00
_symmetry_space_group_name_H-M 'P -4 21 m'
_symmetry_Int_Tables_number 113
loop_
_symmetry_equiv_pos_as_xyz
'x,y,z'
'y,-x,-z'
'-x,-y,z'
'-y,x,-z'
'x+1/2,-y+1/2,-z'
'y+1/2,x+1/2,z'
'-x+1/2,y+1/2,-z'
'-y+1/2,-x+1/2,z'
loop_
_atom_site_label
_atom_site_type_symbol
_atom_site_fract_x
_atom_site_fract_y
_atom_site_fract_z
Er1 Er 0.196 0.304 0.093
Nb1 Nb 0.140 0.640 0.521
S1 S 0.000 0.500 0.154
S2 S 0.065 0.823 0.193
S3 S 0.124 0.376 0.611
O1 O 0.008 0.356 0.639
O2 O 0.044 0.213 0.164
O3 O 0.062 0.075 0.785
O4 O 0.067 0.567 0.279
O5 O 0.068 0.432 0.038
O6 O 0.106 0.773 0.379
O7 O 0.135 0.787 0.038
O8 O 0.155 0.345 0.420
O9 O 0.179 0.321 0.763
O10 O 0.206 0.706 0.711
```

=====

(4)
## NdEr3 (PBEsol)

Data for a relaxed structure of NdEr3.

## Properties
total DFT energy (no corrections) = -4.9687 eV/atom
calculated formation energy = 0.018 eV per atom
excess energy over the best structure of this formula in the dataset = 0.01 eV/f.u.
density = 9.0 g/cm³

```
data_NdEr3
_cell_length_a 4.916
_cell_length_b 4.916
_cell_length_c 4.916
_cell_angle_alpha 90.00
_cell_angle_beta 90.00
_cell_angle_gamma 90.00
_symmetry_space_group_name_H-M 'P m -3 m'
_symmetry_Int_Tables_number 221
_symmetry_space_group_name_Hall '-P 4 2 3'
loop_
_atom_site_label
_atom_site_type_symbol
_atom_site_fract_x
_atom_site_fract_y
_atom_site_fract_z
Nd1 Nd 0.000 0.000 0.000
Er1 Er 0.000 0.500 0.500
```

=====

(5)
## NdEr3 (PBEsol)

Data for a relaxed structure of NdEr3.

## Properties
total DFT energy (no corrections) = -4.9710 eV/atom
calculated formation energy = 0.016 eV per atom
excess energy over the best structure of this formula in the dataset = 0.00 eV/f.u.
density = 8.9 g/cm³

```
data_NdEr3
_cell_length_a 7.0782
_cell_length_b 7.0782
_cell_length_c 5.5609
_cell_angle_alpha 90.00
_cell_angle_beta 90.00
_cell_angle_gamma 120.00
_symmetry_space_group_name_H-M 'P 63/m m c'
_symmetry_Int_Tables_number 194
_symmetry_space_group_name_Hall '-P 6c 2c'
loop_
_atom_site_label
_atom_site_type_symbol
_atom_site_fract_x
_atom_site_fract_y
_atom_site_fract_z
Nd1 Nd 0.3333 0.6667 0.2500
Er1 Er 0.1654 0.3309 0.7500
```

=====

(6)
## Nd3ErW6O24 (PBEsol)

Data for a relaxed structure of Nd3ErW6O24.

## Properties
uncorrected formation energy = -2.60 eV per atom
total DFT energy (no corrections) = -9.3444 eV/atom
density = 7.3 g/cm³

```
data_Nd3ErW6O24
_cell_length_a 6.896
_cell_length_b 6.907
_cell_length_c 11.440
_cell_angle_alpha 100.80
_cell_angle_beta 100.52
_cell_angle_gamma 111.85
_symmetry_space_group_name_H-M 'P 1'
_symmetry_Int_Tables_number 1
loop_
_symmetry_equiv_pos_as_xyz
'x,y,z'
loop_
_atom_site_label
_atom_site_type_symbol
_atom_site_fract_x
_atom_site_fract_y
_atom_site_fract_z
Nd1 Nd 0.000 0.000 0.000
Nd2 Nd 0.084 0.579 0.190
Nd3 Nd 0.324 0.324 0.687
Er1 Er 0.749 0.241 0.504
W1 W 0.174 0.158 0.349
W2 W 0.280 0.745 0.543
W3 W 0.505 0.539 0.045
W4 W 0.584 0.041 0.151
W5 W 0.781 0.819 0.637
W6 W 0.902 0.421 0.843
O1 O 0.112 0.471 0.554
O2 O 0.125 0.957 0.206
O3 O 0.135 0.753 0.398
O4 O 0.160 0.492 0.815
O5 O 0.229 0.379 0.053
O6 O 0.253 0.420 0.324
O7 O 0.261 0.944 0.656
O8 O 0.384 0.204 0.486
O9 O 0.385 0.065 0.042
O10 O 0.448 0.764 0.175
O11 O 0.505 0.680 0.662
O12 O 0.509 0.393 0.897
O13 O 0.559 0.891 0.519
O14 O 0.592 0.187 0.301
O15 O 0.638 0.815 0.020
O16 O 0.703 0.363 0.697
O17 O 0.704 0.517 0.156
O18 O 0.798 0.611 0.529
O19 O 0.827 0.168 0.877
O20 O 0.861 0.199 0.141
O21 O 0.920 0.084 0.383
O22 O 0.925 0.822 0.786
O23 O 0.944 0.097 0.629
O24 O 0.959 0.629 0.985
```

=====

Copy entry 5 word for word.
## NdEr3 (PBEsol)

Data for a relaxed structure of NdEr3.

## Properties
total DFT energy (no corrections) = -4.9710 eV/atom
calculated formation energy = 0.016 eV per atom
excess energy over the best structure of this formula in the dataset = 0.00 eV/f.u.
density = 8.9 g/cm³

```
data_NdEr3
_cell_length_a 7.0782
_cell_length_b 7.0782
_cell_length_c 5.5609
_cell_angle_alpha 90.00
_cell_angle_beta 90.00
_cell_angle_gamma 120.00
_symmetry_space_group_name_H-M 'P 63/m m c'
_symmetry_Int_Tables_number 194
_symmetry_space_group_name_Hall '-P 6c 2c'
loop_
_atom_site_label
_atom_site_type_symbol
_atom_site_fract_x
_atom_site_fract_y
_atom_site_fract_z
Nd1 Nd 0.3333 0.6667 0.2500
Er1 Er 0.1654 0.3309 0.7500
```

=====

What is the formula in the fourth record?
NdEr3

=====

Which of these has the lowest total DFT energy (no corrections)?
Nd3ErW6O24